Arrangement a

The following is a DFT calculation (PBE) of a geometry-optimized Ba2ZrCl structure.

Properties
- DOS at the Fermi energy: 1.104 states/eV/atom

Cell: 6.3534 6.3534 3.8349 Å, 90.00 90.00 90.00°
Space group P-4m2 (No. 115)
One atom of each set of equivalent atoms:
1 Ba 0.0000 0.5000 0.0205
2 Zr 0.0000 0.0000 0.5000
3 Cl 0.5000 0.5000 0.0000

Arrangement b

The following is a DFT calculation (PBE) of a geometry-optimized Ba2ZrCl structure.

Properties
- DOS at the Fermi energy: 1.490 states/eV/atom

Cell: 8.4249 8.4249 8.4249 Å, 90.00 90.00 90.00°
Space group F-43m (No. 216)
One atom of each set of equivalent atoms:
1 Ba 0.0000 0.0000 0.0000
2 Ba 0.2500 0.2500 0.2500
3 Zr 0.2500 0.2500 0.7500
4 Cl 0.0000 0.0000 0.5000

Arrangement c

The following is a DFT calculation (PBE) of a geometry-optimized Ba2ZrCl structure.

Properties
- DOS at the Fermi energy: 1.094 states/eV/atom

Cell: 3.7333 5.7143 6.6693 Å, 90.00 90.00 90.00°
Space group Pmmm (No. 47)
One atom of each set of equivalent atoms:
1 Ba 0.0000 0.0000 0.0000
2 Ba 0.5000 0.5000 0.5000
3 Zr 0.0000 0.0000 0.5000
4 Cl 0.5000 0.5000 0.0000

Arrangement d

The following is a DFT calculation (PBE) of a geometry-optimized Ba2ZrCl structure.

Properties
- DOS at the Fermi energy: 1.155 states/eV/atom

Cell: 8.5894 8.5894 8.5894 Å, 90.00 90.00 90.00°
Space group Fm-3m (No. 225)
One atom of each set of equivalent atoms:
1 Ba 0.2500 0.2500 0.2500
2 Zr 0.0000 0.0000 0.0000
3 Cl 0.0000 0.0000 0.5000

Stability, lowest: arrangement b